Material: CsNa3Cu4Cl12
Method: DFT, PBE-GGA
State: optimized geometry

Properties
M_tot = 4.2 μB/f.u.
calculated volume = 31.987 Å³ per atom
E_tot = -3.14 eV per atom

```
CsNa3Cu4Cl12
1.0
8.857 0.130 0.180
-2.008 8.627 0.180
-2.008 -2.568 8.238
Cl Cu Na Cs
12 4 3 1
Direct
0.500 0.089 0.911
0.657 0.500 0.343
0.764 0.006 0.635
0.236 0.365 0.994
0.343 0.657 0.500
0.089 0.911 0.500
0.994 0.236 0.365
0.006 0.635 0.764
0.365 0.994 0.236
0.500 0.343 0.657
0.911 0.500 0.089
0.635 0.764 0.006
0.070 0.500 0.930
0.930 0.070 0.500
0.500 0.500 0.500
0.500 0.930 0.070
0.565 0.435 0.000
0.435 0.000 0.565
0.000 0.565 0.435
0.000 0.000 0.000
```

Material: BaTc2Br
Method: DFT, PBE-GGA
State: optimized geometry

Properties
M_tot = 0.1 μB/f.u.
excess energy over the best structure of this formula in the dataset = 5.391 eV/f.u.
calculated volume = 20.194 Å³ per atom
E_tot = -4.60 eV per atom

```
BaTc2Br
1.0
0.000 3.431 3.431
3.431 0.000 3.431
3.431 3.431 0.000
Tc Ba Br
2 1 1
Direct
0.250 0.250 0.250
0.750 0.750 0.750
0.500 0.500 0.500
0.000 0.000 0.000
```

Material: NaPmEuHg
Method: DFT, PBE-GGA
State: optimized geometry

Properties
M_tot = 7.2 μB/f.u.
calculated volume = 30.398 Å³ per atom
energy relative to the elements = -0.11 eV/atom
E_tot = -4.27 eV per atom

```
NaPmEuHg
1.0
5.561 0.000 0.000
2.780 4.816 0.000
2.780 1.605 4.540
Na Eu Pm Hg
1 1 1 1
Direct
0.000 0.000 0.000
0.250 0.250 0.250
0.750 0.750 0.750
0.500 0.500 0.500
```

Copy entry 2 word for word.
Material: BaTc2Br
Method: DFT, PBE-GGA
State: optimized geometry

Properties
M_tot = 0.1 μB/f.u.
excess energy over the best structure of this formula in the dataset = 5.391 eV/f.u.
calculated volume = 20.194 Å³ per atom
E_tot = -4.60 eV per atom

```
BaTc2Br
1.0
0.000 3.431 3.431
3.431 0.000 3.431
3.431 3.431 0.000
Tc Ba Br
2 1 1
Direct
0.250 0.250 0.250
0.750 0.750 0.750
0.500 0.500 0.500
0.000 0.000 0.000
```

Q: What is the formula in the second record?
A: BaTc2Br

Q: What is the formula in the first record?
A: CsNa3Cu4Cl12